i) Computed, not measured: a relaxed structure of LiMoPt2 at the GGA-PBEsol level of DFT.

Cell: 2.7852 2.7852 7.0657 Å, 90.00 90.00 90.00°
Space group P4/mmm (No. 123)
Inequivalent atoms, fractional coordinates:
Li 0.0000 0.0000 0.0000
Mo 0.0000 0.0000 0.5000
Pt 0.5000 0.5000 0.2356

Values from the calculation:
Magnetic moment: 0.000 μB per atom

ii) Computed, not measured: a relaxed structure of LiMoPt2 at the GGA-PBEsol level of DFT.

Cell: 2.6887 4.4639 4.7525 Å, 90.00 90.00 90.00°
Space group Pmm2 (No. 25)
Inequivalent atoms, fractional coordinates:
Li 0.0000 0.0000 0.0000
Mo 0.0000 0.5000 0.3660
Pt 0.5000 0.0000 0.5163
Pt 0.5000 0.5000 0.8866

Values from the calculation:
Magnetic moment: 0.000 μB per atom

Most stable: i). Least stable: ii).

i) Computed, not measured: a relaxed structure of FeRe2Au at the GGA-PBEsol level of DFT.

Cell: 6.1232 6.1232 6.1232 Å, 90.00 90.00 90.00°
Space group Fm-3m (No. 225)
Inequivalent atoms, fractional coordinates:
Fe 0.0000 0.0000 0.0000
Re 0.2500 0.2500 0.2500
Au 0.0000 0.0000 0.5000

Values from the calculation:
Magnetic moment: 0.603 μB per atom

ii) Computed, not measured: a relaxed structure of FeRe2Au at the GGA-PBEsol level of DFT.

Cell: 6.1359 6.1359 6.1359 Å, 90.00 90.00 90.00°
Space group F-43m (No. 216)
Inequivalent atoms, fractional coordinates:
Fe 0.0000 0.0000 0.0000
Re 0.0000 0.0000 0.5000
Re 0.2500 0.2500 0.7500
Au 0.2500 0.2500 0.2500

Values from the calculation:
Magnetic moment: 0.466 μB per atom

Most stable: ii). Least stable: i).

i) Computed, not measured: a relaxed structure of IrSe2I at the GGA-PBEsol level of DFT.

Cell: 3.8414 3.8414 23.4392 Å, 90.00 90.00 120.00°
Space group R-3m (No. 166, hexagonal axes)
Inequivalent atoms, fractional coordinates:
Ir 0.0000 0.0000 0.0000
Se 0.0000 0.0000 0.3824
I 0.0000 0.0000 0.5000

Values from the calculation:
Magnetic moment: 0.000 μB per atom

ii) Computed, not measured: a relaxed structure of IrSe2I at the GGA-PBEsol level of DFT.

Cell: 6.9543 6.9543 8.7406 Å, 90.00 90.00 90.00°
Space group I-42d (No. 122)
Inequivalent atoms, fractional coordinates:
Ir 0.0000 0.0000 0.0000
Se 0.1642 0.2500 0.1250
I 0.0000 0.0000 0.5000

Values from the calculation:
Magnetic moment: 0.000 μB per atom

Most stable: i). Least stable: ii).